VASP calculation (PBE) on crystalline SrZrBeN3 at its relaxed geometry.

Electronic total energy (eV per atom): -7.47

a = 7.145 Å, b = 3.280 Å, c = 7.209 Å
α = 90.00°, β = 105.24°, γ = 90.00°
Space group P2_1/m (No. 11)
Unique sites:
Sr1 0.227 0.250 0.187 [2 per cell]
Zr1 0.167 0.250 0.660 [2 per cell]
Be1 0.404 0.750 0.921 [2 per cell]
N1 0.154 0.750 0.868 [2 per cell]
N2 0.155 0.750 0.449 [2 per cell]
N3 0.472 0.250 0.842 [2 per cell]